VASP calculation (SCAN) on a PBEsol-optimized structure of CdFeSCl2.

Results
- Calculated total energy: -14.705 eV per atom
- M_tot: 3.83 μB per cell
- Calculated volume: 24.6 Å³ per atom
- Formation energy from raw total energies: 0.60 eV/f.u.

Unit cell a=4.916 b=4.916 c=5.084 alpha=90.00 beta=90.00 gamma=90.00
Positions (direct):
Cd  0.000  0.000  0.000
Fe  0.500  0.500  0.500
S  0.000  0.000  0.500
Cl  0.000  0.500  0.000
Cl  0.500  0.000  0.000